The following is a DFT calculation (PBE) of a relaxed structure of CaReAg2Br.

```
CaReAg2Br
1.0
5.011 0.000 0.000
0.000 5.011 0.000
0.000 0.000 5.897
Ca Re Ag Br
1 1 2 1
Cartesian
0.000 0.000 0.000
0.000 0.000 2.949
0.000 2.505 2.949
2.505 0.000 2.949
2.505 2.505 0.000
```

Calculated values
For the theoretical density, the calculation gives 5.85 Mg/m³. For the energy above the most stable polymorph in this dataset, the calculation gives 0.000 eV/atom. The total magnetization is 0.000 μB per atom. The space group is No. 123. The formation energy (no corrections) is 0.9188 eV per atom.